1.
Below is a relaxed Pm3Pr2Sn crystal, with properties calculated at the PBE level.

```
Pm3Pr2Sn
1.0
-1.3629 -1.9296 4.3556
4.4702 -2.1035 0.4668
0.3981 7.4606 3.4298
Pm Pr Sn
3 2 1
direct
0.5000 0.1601 0.3201
0.5000 0.5000 0.0000
0.5000 0.8399 0.6799
0.0000 0.6607 0.3213
0.0000 0.3393 0.6787
0.0000 0.0000 0.0000
```

Summary:
Relative energy among the computed polymorphs (eV/atom): 0.000


2.
Below is a relaxed BaNb5Se8 crystal, with properties calculated at the PBE level.

```
BaNb5Se8
1.0
3.4980 0.0000 -0.6841
-0.4456 9.1069 -2.2783
0.0375 0.0180 9.4769
Ba Nb Se
1 5 8
direct
0.5000 0.4999 0.0001
0.2881 0.6274 0.5762
0.7120 0.3726 0.4239
0.3596 0.0066 0.7193
0.6403 0.9934 0.2806
0.0000 0.0000 0.0000
0.2401 0.1594 0.4803
0.7598 0.8406 0.5196
0.1494 0.5038 0.2988
0.8507 0.4962 0.7014
0.0816 0.8022 0.1632
0.9183 0.1978 0.8367
0.4281 0.8062 0.8562
0.5719 0.1939 0.1438
```

Summary:
E_tot (eV/atom): -6.69


3.
Below is a relaxed PrY2MnN4 crystal, with properties calculated at the PBE level.

```
PrY2MnN4
1.0
3.4232 0.0000 0.0000
-1.7116 5.7722 0.0000
0.0000 0.0000 11.5907
Pr Y Mn N
2 4 2 8
direct
0.0957 0.1913 0.7500
0.9043 0.8087 0.2500
0.3687 0.7373 0.5446
0.6313 0.2627 0.0446
0.6313 0.2627 0.4554
0.3687 0.7373 0.9554
0.8325 0.6649 0.7500
0.1675 0.3351 0.2500
0.2652 0.5305 0.1283
0.7348 0.4695 0.6283
0.7348 0.4695 0.8717
0.2652 0.5305 0.3717
0.0000 0.0000 0.5000
0.0000 0.0000 0.0000
0.4168 0.8336 0.7500
0.5832 0.1664 0.2500
```

Summary:
E_tot (eV/atom): -8.69


4.
Below is a relaxed Ac2ThAgS5 crystal, with properties calculated at the PBE level.

```
Ac2ThAgS5
1.0
4.1431 0.0000 0.0000
-2.0716 8.6261 0.0000
0.0000 0.0000 12.5788
Ac Th Ag S
4 2 2 10
direct
0.8746 0.7492 0.8056
0.1169 0.2339 0.6884
0.1254 0.2508 0.3056
0.8831 0.7661 0.1884
0.8093 0.6186 0.5033
0.1907 0.3814 0.0033
0.5191 0.0382 0.9699
0.4809 0.9618 0.4699
0.3530 0.7060 0.0016
0.6930 0.3860 0.8466
0.4990 0.9980 0.7749
0.2953 0.5906 0.6596
0.9577 0.9155 0.5742
0.6470 0.2940 0.5016
0.3070 0.6140 0.3466
0.5010 0.0020 0.2749
0.7047 0.4094 0.1596
0.0423 0.0845 0.0742
```

Summary:
E_tot (eV/atom): -6.09


5.
Below is a relaxed MnAsIr3 crystal, with properties calculated at the PBE level.

```
MnAsIr3
1.0
4.5258 0.0000 0.0000
0.0000 4.5258 0.0000
0.0000 0.0000 4.5258
As Ir Mn
1 3 1
direct
0.0000 0.0000 0.0000
0.0000 0.5000 0.0000
0.0000 0.0000 0.5000
0.5000 0.0000 0.0000
0.5000 0.5000 0.5000
```

Summary:
Relative energy among the computed polymorphs (eV/atom): 0.168


6.
Below is a relaxed Cs2CdSbF6 crystal, with properties calculated at the PBE level.

```
Cs2CdSbF6
1.0
-4.8934 -0.9917 -4.5507
-3.7607 -3.0659 4.7006
-6.2722 2.1599 1.2522
Cs Cd Sb F
2 1 1 6
direct
0.7500 0.2500 0.5000
0.2500 0.7500 0.5000
0.0000 0.0000 0.0000
0.5000 0.5000 0.0000
0.2668 0.2668 0.4654
0.7316 0.7313 0.0008
0.2679 0.7323 0.0000
0.7321 0.2677 0.0000
0.2684 0.2687 0.9992
0.7332 0.7332 0.5346
```

Summary:
E_tot (eV/atom): -4.10


7.
Below is a relaxed PmEuSbTe crystal, with properties calculated at the PBE level.

```
PmEuSbTe
1.0
-1.4877 0.5466 -5.3165
3.2505 -2.0277 -4.0125
-1.6172 -4.4450 -2.8990
Eu Sb Te Pm
1 1 1 1
direct
0.0000 0.0000 0.0000
0.7500 0.7500 0.7500
0.2500 0.2500 0.2500
0.5000 0.5000 0.5000
```

Summary:
E_tot (eV/atom): -6.67


8.
Below is a relaxed Pr3Dy2ScTe6 crystal, with properties calculated at the PBE level.

```
Pr3Dy2ScTe6
1.0
-1.3772 -3.6738 -1.8985
-0.9719 -3.7924 8.0438
-7.8594 5.9949 -0.8960
Pr Dy Sc Te
3 2 1 6
direct
0.5000 0.5000 0.0000
0.8292 0.1629 0.6585
0.1708 0.8371 0.3415
0.8335 0.6667 0.6671
0.1665 0.3333 0.3329
0.5000 0.0000 0.0000
0.3422 0.9109 0.6844
0.6699 0.5758 0.3397
0.6578 0.0891 0.3156
0.0013 0.2314 0.0026
0.9987 0.7686 0.9974
0.3301 0.4242 0.6603
```

Summary:
E_tot (eV/atom): -5.39